First-principles (GGA+U) data for crystalline Sr2LaMn2O7 at its relaxed geometry, as listed in the Alexandria database.

Output
D(E_F) ... 1.642 states/eV per cell
Calculated total energy ... -7.263 eV/atom
E above lowest polymorph ... 0.0 meV per atom

a b c (Å): 10.479 10.479 10.479
angles (deg): 158.43 158.43 30.68
Atoms (fractional coordinates):
Sr1 0.183 0.183 0.000
Sr2 0.817 0.817 0.000
La1 0.000 0.000 0.000
Mn1 0.402 0.402 0.000
Mn2 0.598 0.598 0.000
O1 0.092 0.592 0.500
O2 0.306 0.306 0.000
O3 0.408 0.908 0.500
O4 0.500 0.500 0.000
O5 0.592 0.092 0.500
O6 0.694 0.694 0.000
O7 0.908 0.408 0.500